1.
An optimized crystal structure of Mg2InPb, computed with PBEsol. Values from VASP.

## Properties
The calculated volume is 24.00 Å³/atom. As for the total energy: -0.19841 Ry/atom. The space-group type is Pmmm, No. 47.

Structure (Quantum ESPRESSO input):
```
&SYSTEM
  ibrav = 0, nat = 4, ntyp = 3
/
ATOMIC_SPECIES
Mg 24.30 Mg.upf
In 114.82 In.upf
Pb 207.20 Pb.upf
ATOMIC_POSITIONS angstrom
Mg 0.000 0.000 1.616
Mg 0.000 0.000 5.155
In 1.661 2.134 0.000
Pb 1.661 2.134 3.386
CELL_PARAMETERS angstrom
3.321 0.000 0.000
0.000 4.268 0.000
0.000 0.000 6.771
```



2.
An optimized crystal structure of Mg2InPb, computed with PBEsol. Values from VASP.

## Properties
The calculated volume is 24.27 Å³/atom. As for the total energy: -0.19754 Ry/atom. The space-group type is R-3m, No. 166.

Structure (Quantum ESPRESSO input):
```
&SYSTEM
  ibrav = 0, nat = 4, ntyp = 3
/
ATOMIC_SPECIES
Mg 24.30 Mg.upf
In 114.82 In.upf
Pb 207.20 Pb.upf
ATOMIC_POSITIONS angstrom
Mg 0.000 0.000 7.310
Mg 0.000 0.000 22.257
In 0.000 0.000 14.783
Pb 0.000 0.000 0.000
CELL_PARAMETERS angstrom
1.686 0.974 9.856
-1.686 0.974 9.856
0.000 -1.947 9.856
```



3.
An optimized crystal structure of Mg4InPb, computed with PBEsol. Values from VASP.

## Properties
The calculated volume is 24.10 Å³/atom. As for the total energy: -0.16828 Ry/atom. The space-group type is F-43m, No. 216.

Structure (Quantum ESPRESSO input):
```
&SYSTEM
  ibrav = 0, nat = 6, ntyp = 3
/
ATOMIC_SPECIES
Mg 24.30 Mg.upf
In 114.82 In.upf
Pb 207.20 Pb.upf
ATOMIC_POSITIONS angstrom
Mg 1.041 1.041 1.041
Mg 3.125 3.125 1.041
Mg 3.125 1.041 3.125
Mg 1.041 3.125 3.125
In 6.249 6.249 6.249
Pb 4.166 4.166 4.166
CELL_PARAMETERS angstrom
0.000 4.166 4.166
4.166 0.000 4.166
4.166 4.166 0.000
```



4.
An optimized crystal structure of Mg2InPb, computed with PBEsol. Values from VASP.

## Properties
The calculated volume is 23.97 Å³/atom. As for the total energy: -0.19823 Ry/atom. The space-group type is I4/mmm, No. 139.

Structure (Quantum ESPRESSO input):
```
&SYSTEM
  ibrav = 0, nat = 4, ntyp = 3
/
ATOMIC_SPECIES
Mg 24.30 Mg.upf
In 114.82 In.upf
Pb 207.20 Pb.upf
ATOMIC_POSITIONS angstrom
Mg 2.364 0.000 2.144
Mg 0.000 2.364 2.144
In 0.000 0.000 0.000
Pb 0.000 0.000 4.289
CELL_PARAMETERS angstrom
-2.364 2.364 4.289
2.364 -2.364 4.289
2.364 2.364 -4.289
```



The ρ results, record by record, are as follows: 6.41; 6.34; 4.81; 6.42 g/cm3.
The energy of formation from the pure elements results, record by record, are as follows: -0.096; -0.084; 0.019; -0.093 eV per atom.